First-principles (PBE-GGA) data for a relaxed structure of MgTa2Ni, as listed in Alexandria via LeMat-Bulk.

Cell and atoms, written as POSCAR:
```
MgTa2Ni
1.0
-0.3998 1.9174 2.0594
-2.7029 -0.0991 -0.8728
-1.5161 -6.1042 5.3889
Ta Mg Ni
2 1 1
Direct
0.0000 0.0000 0.9680
0.5000 0.5000 0.2420
0.0000 0.0000 0.5359
0.5000 0.5000 0.7541
```

Values from the calculation:
DFT total energy ... -7.769 eV/atom
Total magnetization ... 0.0 μB per formula unit
Crystal system ... orthorhombic